Model w:
First-principles (PBE) data for a relaxed Dy2ErCu2 crystal, as listed in Alexandria.

POSCAR file:
```
Dy2ErCu2
1.0
3.460 0.000 -0.463
0.000 5.032 0.000
-0.010 0.000 13.053
Cu Dy Er
4 4 2
direct
0.453 0.750 0.906 Cu
0.359 0.250 0.720 Cu
0.547 0.250 0.094 Cu
0.641 0.750 0.280 Cu
0.770 0.250 0.540 Dy
0.953 0.250 0.906 Dy
0.230 0.750 0.460 Dy
0.047 0.750 0.094 Dy
0.142 0.250 0.283 Er
0.858 0.750 0.717 Er
```

Summary:
**Calculated volume**: 227.2 Å³/cell
**Space group**: P2_1/m (11)

***

Model x:
First-principles (PBE) data for a relaxed Dy2ErCu2 crystal, as listed in Alexandria.

POSCAR file:
```
Dy2ErCu2
1.0
-4.525 -1.001 -0.302
-0.978 -5.908 -1.476
-2.168 -3.411 8.083
Dy Cu Er
4 4 2
direct
0.681 0.728 0.910 Dy
0.538 0.616 0.308 Dy
0.462 0.384 0.692 Dy
0.319 0.272 0.090 Dy
0.945 0.196 0.914 Cu
0.055 0.804 0.086 Cu
0.125 0.331 0.419 Cu
0.875 0.669 0.581 Cu
0.190 0.973 0.648 Er
0.810 0.027 0.352 Er
```

Summary:
**Calculated volume**: 230.6 Å³/cell
**Space group**: C2/m (12)

***

Most stable structure among those shown: model w. Next: +0.025 eV/atom.